No. 1
This record from Alexandria via LeMat-Bulk describes a relaxed structure of Sm6Ag2C. The functional is PBE-GGA.

Computed properties:
Space-group type ... P2_1/c, No. 14
DOS(E_F) ... 20.3 states/eV per cell
Raw total energy ... -0.1822 hartree per atom
ΔE_f ... -133 kJ/mol of formula units

Unit cell a=6.8422 b=7.2646 c=12.0784 alpha=90.00 beta=123.54 gamma=90.00
With the nearest neighbours (Å) after each atom.
Sites, in units of the cell vectors:
Sm: 0.1362 0.0209 0.2401  1 C 2.51
Sm: 0.1362 0.4791 0.7401  1 C 2.51
Sm: 0.2332 0.7086 0.0485  1 C 2.52
Sm: 0.2332 0.7914 0.5485  1 C 2.52
Sm: 0.3475 0.1913 0.0496  1 C 2.52
Sm: 0.3475 0.3087 0.5496  1 C 2.52
Sm: 0.6525 0.6913 0.4504  1 C 2.52
Sm: 0.6525 0.8087 0.9504  1 C 2.52
Sm: 0.7668 0.2086 0.4515  1 C 2.52
Sm: 0.7668 0.2914 0.9515  1 C 2.52
Sm: 0.8638 0.5209 0.2599  1 C 2.51
Sm: 0.8638 0.9791 0.7599  1 C 2.51
Ag: 0.2870 0.0734 0.7504  6 Sm 3.02-3.22
Ag: 0.2870 0.4266 0.2504  6 Sm 3.02-3.22
Ag: 0.7130 0.5734 0.7496  6 Sm 3.02-3.22
Ag: 0.7130 0.9266 0.2496  6 Sm 3.02-3.22
C: 0.0000 0.0000 0.0000  6 Sm 2.51-2.52
C: 0.0000 0.5000 0.5000  6 Sm 2.51-2.52

---

No. 2
This record from Alexandria via LeMat-Bulk describes a relaxed structure of Sm4AgC. The functional is PBE-GGA.

Computed properties:
Space-group type ... C2/c, No. 15
DOS(E_F) ... 14.9 states/eV per cell
Raw total energy ... -0.1920 hartree per atom
ΔE_f ... -38 kJ/mol of formula units

Unit cell a=8.2428 b=8.2428 c=6.3633 alpha=104.95 beta=104.95 gamma=118.58
With the nearest neighbours (Å) after each atom.
Sites, in units of the cell vectors:
Sm: 0.0660 0.6643 0.8599  1 C 2.47
Sm: 0.1735 0.2684 0.6935  2 C 2.49-2.64
Sm: 0.2684 0.1735 0.1935  2 C 2.49-2.64
Sm: 0.3357 0.9340 0.6401  1 C 2.47
Sm: 0.6643 0.0660 0.3599  1 C 2.47
Sm: 0.7316 0.8265 0.8065  2 C 2.49-2.64
Sm: 0.8265 0.7316 0.3065  2 C 2.49-2.64
Sm: 0.9340 0.3357 0.1401  1 C 2.47
Ag: 0.3811 0.6189 0.2500  8 Sm 3.02-3.34
Ag: 0.6189 0.3811 0.7500  8 Sm 3.02-3.34
C: 0.0686 0.9314 0.7500  6 Sm 2.47-2.64
C: 0.9314 0.0686 0.2500  6 Sm 2.47-2.64

---

No. 3
This record from Alexandria via LeMat-Bulk describes a relaxed structure of Sm4AgC2. The functional is PBE-GGA.

Computed properties:
Space-group type ... R-3m, No. 166
DOS(E_F) ... 6.4 states/eV per cell
Raw total energy ... -0.2164 hartree per atom
ΔE_f ... -101 kJ/mol of formula units

Unit cell a=14.3805 b=14.3805 c=14.3805 alpha=14.68 beta=14.68 gamma=14.68
With the nearest neighbours (Å) after each atom.
Sites, in units of the cell vectors:
Sm: 0.1229 0.1229 0.1229  3 C 2.54
Sm: 0.2757 0.2757 0.2757  3 C 2.54
Sm: 0.7243 0.7243 0.7243  3 C 2.54
Sm: 0.8771 0.8771 0.8771  3 C 2.54
Ag: 0.0000 0.0000 0.0000  6 Sm 3.25
C: 0.4236 0.4236 0.4236  6 Sm 2.54
C: 0.5764 0.5764 0.5764  6 Sm 2.54

---

No. 4
This record from Alexandria via LeMat-Bulk describes a relaxed structure of Sm2AgC2. The functional is PBE-GGA.

Computed properties:
Space-group type ... C2/c, No. 15
DOS(E_F) ... 4.8 states/eV per cell
Raw total energy ... -0.2340 hartree per atom
ΔE_f ... -107 kJ/mol of formula units

Unit cell a=7.5479 b=7.5479 c=6.8944 alpha=103.97 beta=103.97 gamma=31.76
With the nearest neighbours (Å) after each atom.
Sites, in units of the cell vectors:
Sm: 0.0129 0.6865 0.8698  4 C 2.40-2.64
Sm: 0.3135 0.9871 0.6302  4 C 2.40-2.64
Sm: 0.6865 0.0129 0.3698  4 C 2.40-2.64
Sm: 0.9871 0.3135 0.1302  4 C 2.40-2.64
Ag: 0.3901 0.6099 0.2500  6 Sm 3.11-3.40
Ag: 0.6099 0.3901 0.7500  6 Sm 3.11-3.40
C: 0.1473 0.4020 0.4735  1 C 1.34
C: 0.4020 0.1473 0.9735  1 C 1.34
C: 0.5980 0.8527 0.0265  1 C 1.34
C: 0.8527 0.5980 0.5265  1 C 1.34

---

No. 5
This record from Alexandria via LeMat-Bulk describes a relaxed structure of Sm4Ag2C. The functional is PBE-GGA.

Computed properties:
Space-group type ... I4/mmm, No. 139
DOS(E_F) ... 18.4 states/eV per cell
Raw total energy ... -0.1815 hartree per atom
ΔE_f ... -75 kJ/mol of formula units

Unit cell a=5.0396 b=5.0396 c=14.7841 alpha=90.00 beta=90.00 gamma=90.00
With the nearest neighbours (Å) after each atom.
Sites, in units of the cell vectors:
Sm: 0.0000 0.0000 0.1703  1 C 2.52
Sm: 0.0000 0.0000 0.8297  1 C 2.52
Sm: 0.0000 0.5000 0.0000  2 C 2.52
Sm: 0.0000 0.5000 0.5000  2 C 2.52
Sm: 0.5000 0.0000 0.0000  2 C 2.52
Sm: 0.5000 0.0000 0.5000  2 C 2.52
Sm: 0.5000 0.5000 0.3297  1 C 2.52
Sm: 0.5000 0.5000 0.6703  1 C 2.52
Ag: 0.0000 0.0000 0.3715  5 Sm 2.97-3.16
Ag: 0.0000 0.0000 0.6285  5 Sm 2.97-3.16
Ag: 0.5000 0.5000 0.1285  5 Sm 2.97-3.16
Ag: 0.5000 0.5000 0.8715  5 Sm 2.97-3.16
C: 0.0000 0.0000 0.0000  6 Sm 2.52
C: 0.5000 0.5000 0.5000  6 Sm 2.52

---

No. 6
This record from Alexandria via LeMat-Bulk describes a relaxed structure of SmAgC. The functional is PBE-GGA.

Computed properties:
Space-group type ... P-1, No. 2
DOS(E_F) ... 2.1 states/eV per cell
Raw total energy ... -0.2106 hartree per atom
ΔE_f ... -38 kJ/mol of formula units

Unit cell a=3.8009 b=4.1767 c=7.9733 alpha=84.60 beta=86.18 gamma=71.75
With the nearest neighbours (Å) after each atom.
Sites, in units of the cell vectors:
Sm: 0.1294 0.1727 0.1742  4 C 2.46-2.63
Sm: 0.8706 0.8273 0.8258  4 C 2.46-2.63
Ag: 0.3132 0.2891 0.5739  3 Ag 2.72-2.74
Ag: 0.6868 0.7109 0.4261  3 Ag 2.72-2.74
C: 0.4062 0.6432 0.0354  1 C 1.34
C: 0.5938 0.3568 0.9646  1 C 1.34

---

No. 7
This record from Alexandria via LeMat-Bulk describes a relaxed structure of Sm8AgC4. The functional is PBE-GGA.

Computed properties:
Space-group type ... C2/m, No. 12
DOS(E_F) ... 11.9 states/eV per cell
Raw total energy ... -0.2230 hartree per atom
ΔE_f ... -134 kJ/mol of formula units

Unit cell a=9.2767 b=9.2767 c=12.8225 alpha=133.55 beta=133.55 gamma=23.01
With the nearest neighbours (Å) after each atom.
Sites, in units of the cell vectors:
Sm: 0.0456 0.0456 0.2078  3 C 2.54-2.60
Sm: 0.3147 0.3147 0.4625  3 C 2.52-2.55
Sm: 0.3439 0.3439 0.8890  3 C 2.54-2.60
Sm: 0.3495 0.3495 0.1669  3 C 2.51-2.55
Sm: 0.6505 0.6505 0.8331  3 C 2.51-2.55
Sm: 0.6561 0.6561 0.1110  3 C 2.54-2.60
Sm: 0.6853 0.6853 0.5375  3 C 2.52-2.55
Sm: 0.9544 0.9544 0.7922  3 C 2.54-2.60
Ag: 0.0000 0.0000 0.5000  8 Sm 3.57, 2 Ag 3.70
C: 0.1551 0.1551 0.9739  6 Sm 2.51-2.60
C: 0.3205 0.3205 0.6644  6 Sm 2.52-2.60
C: 0.6795 0.6795 0.3356  6 Sm 2.52-2.60
C: 0.8449 0.8449 0.0261  6 Sm 2.51-2.60

---

No. 8
This record from Alexandria via LeMat-Bulk describes a relaxed structure of SmThAgC. The functional is PBE-GGA.

Computed properties:
Space-group type ... Cm, No. 8
DOS(E_F) ... 5.4 states/eV per cell
Raw total energy ... -0.2293 hartree per atom
ΔE_f ... -72 kJ/mol of formula units

Unit cell a=6.3644 b=3.6884 c=8.1040 alpha=90.00 beta=105.09 gamma=90.00
With the nearest neighbours (Å) after each atom.
Sites, in units of the cell vectors:
Sm: 0.0000 0.0000 0.0000  3 C 2.59
Sm: 0.5000 0.5000 0.0000  3 C 2.59
Th: 0.2113 0.0000 0.6316  3 C 2.54-2.55
Th: 0.7113 0.5000 0.6316  3 C 2.54-2.55
Ag: 0.2695 0.5000 0.3087  3 Sm 3.21-3.22, 3 Th 3.30
Ag: 0.7695 0.0000 0.3087  3 Sm 3.21-3.22, 3 Th 3.30
C: 0.1036 0.5000 0.8102  3 Th 2.54-2.55, 3 Sm 2.59
C: 0.6036 0.0000 0.8102  3 Th 2.54-2.55, 3 Sm 2.59

---

no.,total moment (μB/atom)
1,0.000
2,0.000
3,0.000
4,0.000
5,0.000
6,0.000
7,0.000
8,0.000